NdDy2Mg3CdIn2 | PBE | optimized geometry

Total DFT energy (no corrections) ... -56.695 eV per cell

abc: 4.6743 13.2210 7.5201
angles: 90.00 90.00 90.00
Space group Amm2 (No. 38)
Asymmetric unit:
Nd: 0.0000 0.0000 0.0000 (multiplicity 2)
Dy: 0.0000 0.2125 0.6372 (multiplicity 4)
Mg: 0.5000 0.0000 0.6669 (multiplicity 2)
Mg: 0.5000 0.1198 0.3070 (multiplicity 4)
Cd: 0.0000 0.0000 0.4338 (multiplicity 2)
In: 0.5000 0.1696 0.9242 (multiplicity 4)